PaCo3 after structural relaxation, computed with PBEsol.

```
4
Lattice="3.7479 0.0000 0.0000 0.0000 3.7479 0.0000 0.0000 0.0000 3.7479" Properties=species:S:1:pos:R:3 pbc="T T T"
Pa 0.0000 0.0000 0.0000
Co 0.0000 1.8739 1.8739
Co 1.8739 0.0000 1.8739
Co 1.8739 1.8739 0.0000
```

Results
E_tot   -8.71 eV/atom
Formation enthalpy at 0 K   -0.347 eV/atom